Record 1
Material: AcSc3Pb2
Method: DFT, PBE-GGA
State: optimized geometry

a b c (Å): 4.7091 9.4017 9.3089
angles (deg): 116.46 90.00 104.50
Sites, in units of the cell vectors:
Sc 0.4147 0.8294 0.3403
Sc 0.5853 0.1706 0.6597
Sc 0.0532 0.1063 0.3993
Sc 0.3096 0.6192 0.5483
Sc 0.9468 0.8937 0.6007
Sc 0.6904 0.3808 0.4517
Pb 0.5199 0.0397 0.1773
Pb 0.4801 0.9603 0.8227
Pb 0.2040 0.4081 0.7312
Pb 0.7960 0.5919 0.2688
Ac 0.8602 0.7205 0.9265
Ac 0.1398 0.2795 0.0735

The crystal system is monoclinic. The calculation puts the energy relative to the elements at -192 kJ/mol of formula units. The calculated volume is 177.1 Å³/f.u.

***

Record 2
Material: BePb
Method: DFT, PBE-GGA
State: optimized geometry

a b c (Å): 3.4561 3.4561 3.4561
angles (deg): 90.00 90.00 90.00
Sites, in units of the cell vectors:
Be 0.0000 0.0000 0.0000
Pb 0.5000 0.5000 0.5000

The crystal system is cubic. The calculation puts the energy relative to the elements at 157 kJ/mol of formula units. For the energy above the most stable polymorph in this dataset, the calculation gives 0.509 eV/atom. The calculated volume is 41.3 Å³/f.u.